Here is a relaxed SrTlTe2 crystal from the Alexandria database. Energies are from PBE.

Calculated values
- total magnetic moment (μB per atom) = 0.0000
- raw formation energy (eV/f.u.) = -3.14

Structure (CIF):
```
data_SrTlTe2
_chemical_formula_sum 'Sr4 Tl4 Te8'
_symmetry_space_group_name_H-M 'F m -3 m'
_symmetry_Int_Tables_number 225
_symmetry_space_group_name_Hall '-F 4 2 3'
_cell_length_a 8.135
_cell_length_b 8.135
_cell_length_c 8.135
_cell_angle_alpha 90.00
_cell_angle_beta 90.00
_cell_angle_gamma 90.00
loop_
_atom_site_label
_atom_site_fract_x
_atom_site_fract_y
_atom_site_fract_z
Sr1 0.000 0.000 0.000
Tl1 0.000 0.000 0.500
Te1 0.250 0.250 0.250
```

---

Here is a relaxed BaHO3 crystal from the Alexandria database. Energies are from PBE.

Calculated values
- total magnetic moment (μB per atom) = 0.1943
- VASP energy (eV per atom) = -3.3911

Structure (CIF):
```
data_BaHO3
_chemical_formula_sum 'Ba1 H1 O3'
_symmetry_space_group_name_H-M 'P m -3 m'
_symmetry_Int_Tables_number 221
_symmetry_space_group_name_Hall '-P 4 2 3'
_cell_length_a 4.577
_cell_length_b 4.577
_cell_length_c 4.577
_cell_angle_alpha 90.00
_cell_angle_beta 90.00
_cell_angle_gamma 90.00
loop_
_atom_site_label
_atom_site_fract_x
_atom_site_fract_y
_atom_site_fract_z
Ba1 0.000 0.000 0.000
H1 0.500 0.500 0.500
O1 0.000 0.000 0.500
```